## w
Here is a relaxed CdCu2Te crystal from Alexandria via LeMat-Bulk. Energies are from PBE.

a = 4.995 Å, b = 4.995 Å, c = 4.995 Å
α = 129.53°, β = 126.41°, γ = 76.70°
Positions (direct):
Cd 0.000 0.000 0.000
Cu 0.248 0.748 0.500
Cu 0.752 0.252 0.500
Te 0.500 0.500 0.000

Computed properties:
Volume ... 75 Å³/cell
Space group ... Immm (71)

## x
Here is a relaxed CdCu2Te crystal from Alexandria via LeMat-Bulk. Energies are from PBE.

a = 5.025 Å, b = 5.025 Å, c = 3.018 Å
α = 90.00°, β = 90.00°, γ = 101.80°
Positions (direct):
Cd 0.000 0.000 0.000
Cu 0.000 0.500 0.500
Cu 0.500 0.000 0.500
Te 0.500 0.500 0.000

Computed properties:
Volume ... 75 Å³/cell
Space group ... Cmmm (65)

w has the most favorable energy; the next structure is 1.9 kJ/mol of atoms above.